Compound: HgSbOs2
Source: Alexandria via LeMat-Bulk
Functional: PBE-GGA
Structure: optimized geometry

Values from the calculation:
V = 18.05 Å³/atom
Distance to the lowest polymorph of the same formula = 552 meV per atom
Formation energy from raw total energies = 1.054 eV per atom

```
HgSbOs2
1.0
-1.3833 2.7253 -0.3598
-1.2962 -1.2933 -4.8119
-3.9055 -1.7802 1.5305
Os Sb Hg
2 1 1
Cartesian
0.0000 0.0000 0.0000
-1.3398 0.7160 -2.5859
-2.6444 0.4725 0.5853
-2.6008 -1.5367 -1.6407
```